NaSrSCl2 after structural relaxation. Source: the Alexandria database, functional PBE-GGA.

Lattice parameters (Å, degrees): 4.9989 4.9989 5.3006 90.00 90.00 90.00
Last column: magnetic moment on the atom in μB.
Sites, in units of the cell vectors:
Sr  0.5000  0.5000  0.5000  -0.01
S  0.0000  0.0000  0.5000  0.49
Na  0.0000  0.0000  0.0000  0.01
Cl  0.0000  0.5000  0.0000  0.07
Cl  0.5000  0.0000  0.0000  0.07

Values from the calculation:
N(E_F) (states/eV per cell): 1.989
Crystal system: tetragonal
Space group: P4/mmm, No. 123
E_form (uncorrected) (eV per formula unit): -6.437